A plane-wave DFT calculation with PBE-GGA was carried out for an optimized crystal structure of Li3La2CdSn4.

Computed properties:
E: -3.826 eV/atom
formation energy from the elements: -573 meV/atom

Structure (CIF):
```
data_Li3La2CdSn4
_cell_length_a 4.5140
_cell_length_b 4.5140
_cell_length_c 11.8488
_cell_angle_alpha 90.00
_cell_angle_beta 90.00
_cell_angle_gamma 90.00
_space_group_name_H-M_alt 'P -4 m 2'
_space_group_IT_number 115
loop_
_space_group_symop_operation_xyz
'x,y,z'
'y,-x,-z'
'-x,-y,z'
'-y,x,-z'
'-x,y,z'
'-y,-x,-z'
'x,-y,z'
'y,x,-z'
loop_
_atom_site_label
_atom_site_fract_x
_atom_site_fract_y
_atom_site_fract_z
_atom_site_occupancy
Li1 0.0000 0.0000 0.0000 1
Li2 0.0000 0.5000 0.6317 1
La1 0.0000 0.5000 0.2580 1
Cd1 0.5000 0.5000 0.0000 1
Sn1 0.0000 0.0000 0.5000 1
Sn2 0.0000 0.5000 0.8493 1
Sn3 0.5000 0.5000 0.5000 1
```

=====

A plane-wave DFT calculation with PBE-GGA was carried out for an optimized crystal structure of ErCoW.

Computed properties:
E: -7.640 eV/atom
formation energy from the elements: 568 meV/atom

Structure (CIF):
```
data_ErCoW
_cell_length_a 4.0239
_cell_length_b 10.2035
_cell_length_c 21.6929
_cell_angle_alpha 90.00
_cell_angle_beta 90.00
_cell_angle_gamma 90.00
_space_group_name_H-M_alt 'F d d d'
_space_group_IT_number 70
loop_
_space_group_symop_operation_xyz
'x,y,z'
'-x,-y,-z'
'-x+1/4,-y+1/4,z'
'x+1/4,y+1/4,-z'
'x,-y+1/4,-z+1/4'
'-x,y+1/4,z+1/4'
'-x+1/4,y,-z+1/4'
'x+1/4,-y,z+1/4'
'x,y+1/2,z+1/2'
'-x,-y+1/2,-z+1/2'
'-x+1/4,-y+3/4,z+1/2'
'x+1/4,y+3/4,-z+1/2'
'x,-y+3/4,-z+3/4'
'-x,y+3/4,z+3/4'
'-x+1/4,y+1/2,-z+3/4'
'x+1/4,-y+1/2,z+3/4'
'x+1/2,y,z+1/2'
'-x+1/2,-y,-z+1/2'
'-x+3/4,-y+1/4,z+1/2'
'x+3/4,y+1/4,-z+1/2'
'x+1/2,-y+1/4,-z+3/4'
'-x+1/2,y+1/4,z+3/4'
'-x+3/4,y,-z+3/4'
'x+3/4,-y,z+3/4'
'x+1/2,y+1/2,z'
'-x+1/2,-y+1/2,-z'
'-x+3/4,-y+3/4,z'
'x+3/4,y+3/4,-z'
'x+1/2,-y+3/4,-z+1/4'
'-x+1/2,y+3/4,z+1/4'
'-x+3/4,y+1/2,-z+1/4'
'x+3/4,-y+1/2,z+1/4'
loop_
_atom_site_label
_atom_site_fract_x
_atom_site_fract_y
_atom_site_fract_z
_atom_site_occupancy
Er1 0.1250 0.2671 0.1250 1
Co1 0.1250 0.1250 0.5601 1
W1 0.1250 0.1250 0.0015 1
```

=====

A plane-wave DFT calculation with PBE-GGA was carried out for an optimized crystal structure of La2Cu2Sb.

Computed properties:
E: -4.779 eV/atom
energy relative to the elements, uncorrected: -0.3452 eV/atom

Structure (CIF):
```
data_La2Cu2Sb
_cell_length_a 3.8818
_cell_length_b 3.8818
_cell_length_c 16.9779
_cell_angle_alpha 90.00
_cell_angle_beta 90.00
_cell_angle_gamma 90.00
_space_group_name_H-M_alt 'I 4/m m m'
_space_group_IT_number 139
_space_group_name_Hall '-I 4 2'
loop_
_atom_site_label
_atom_site_fract_x
_atom_site_fract_y
_atom_site_fract_z
_atom_site_occupancy
La1 0.0000 0.0000 0.1111 1
Cu1 0.0000 0.5000 0.2500 1
Sb1 0.0000 0.0000 0.5000 1
```

=====

A plane-wave DFT calculation with PBE-GGA was carried out for an optimized crystal structure of CdHgAs.

Computed properties:
E: -1.826 eV/atom
formation energy from the elements: 130 meV/atom

Structure (CIF):
```
data_CdHgAs
_cell_length_a 4.3589
_cell_length_b 4.3589
_cell_length_c 4.4334
_cell_angle_alpha 90.00
_cell_angle_beta 90.00
_cell_angle_gamma 120.00
_space_group_name_H-M_alt 'P 3 m 1'
_space_group_IT_number 156
loop_
_space_group_symop_operation_xyz
'x,y,z'
'-y,x-y,z'
'-x+y,-x,z'
'-y,-x,z'
'-x+y,y,z'
'x,x-y,z'
loop_
_atom_site_label
_atom_site_fract_x
_atom_site_fract_y
_atom_site_fract_z
_atom_site_occupancy
Cd1 0.0000 0.0000 0.0000 1
Hg1 0.6667 0.3333 0.4014 1
As1 0.3333 0.6667 0.7316 1
```